Entry 1:
PmDy4Ag (PBE-GGA, optimized geometry); formation energy from the elements = -78 meV/atom; offset from the most stable computed form = 0.000 eV per atom; raw total energy = -4.413 eV per atom; total moment = 0.0 Bohr magnetons per cell
1.0
-2.372 -1.508 -2.206
2.657 -1.020 -2.159
1.094 -11.980 7.009
Dy Pm Ag
4 1 1
Direct
0.500 0.500 0.817 Dy
0.000 0.000 0.636 Dy
0.500 0.500 0.183 Dy
0.000 0.000 0.364 Dy
0.000 0.000 0.000 Pm
0.500 0.500 0.500 Ag

Entry 2:
PmDyAg (PBE-GGA, optimized geometry); formation energy from the elements = 70 meV/atom; offset from the most stable computed form = 0.248 eV per atom; raw total energy = -3.998 eV per atom; total moment = 0.0 Bohr magnetons per cell
1.0
-4.001 2.995 0.896
-3.271 1.056 -3.752
-4.686 -1.982 0.089
Dy Ag Pm
1 1 1
Direct
0.250 0.250 0.250 Dy
0.000 0.000 0.000 Ag
0.750 0.750 0.750 Pm

Entry 3:
Pm4Dy3Ag4 (PBE-GGA, optimized geometry); formation energy from the elements = -101 meV/atom; raw total energy = -4.120 eV per atom; total moment = 0.0 Bohr magnetons per cell
1.0
3.673 0.000 0.000
0.000 9.392 0.000
-1.837 -4.696 9.001
Ag Pm Dy
4 4 3
Direct
0.263 0.763 0.525 Ag
0.500 0.190 0.000 Ag
0.500 0.810 0.000 Ag
0.737 0.237 0.475 Ag
0.340 0.525 0.680 Pm
0.660 0.845 0.320 Pm
0.660 0.475 0.320 Pm
0.340 0.155 0.680 Pm
0.900 0.900 0.800 Dy
0.100 0.100 0.200 Dy
0.000 0.500 0.000 Dy

Entry 4:
Pm2Dy3Ag3 (PBE-GGA, optimized geometry); formation energy from the elements = -198 meV/atom; raw total energy = -4.181 eV per atom; total moment = 0.0 Bohr magnetons per cell
1.0
0.231 2.765 2.480
-3.259 2.919 -2.951
-6.986 -6.927 5.582
Ag Pm Dy
3 2 3
Direct
0.000 0.500 0.000 Ag
0.886 0.886 0.772 Ag
0.114 0.114 0.228 Ag
0.269 0.769 0.538 Pm
0.731 0.231 0.462 Pm
0.500 0.000 0.000 Dy
0.618 0.618 0.236 Dy
0.382 0.382 0.764 Dy

Entry 5:
PmDyAg (PBE-GGA, optimized geometry); formation energy from the elements = -24 meV/atom; offset from the most stable computed form = 0.154 eV per atom; raw total energy = -4.092 eV per atom; total moment = 0.0 Bohr magnetons per cell
1.0
-0.746 -1.108 -3.470
-1.098 -4.660 1.724
-3.662 3.518 -0.336
Ag Dy Pm
1 1 1
Direct
0.365 0.333 0.667 Ag
0.592 0.667 0.333 Dy
0.043 0.000 0.000 Pm

Entry 6:
PmDy3Ag2 (PBE-GGA, optimized geometry); formation energy from the elements = -198 meV/atom; raw total energy = -4.242 eV per atom; total moment = 0.0 Bohr magnetons per cell
1.0
-0.985 -0.534 3.456
-0.767 -3.470 -0.755
11.594 -3.175 2.815
Ag Dy Pm
2 3 1
Direct
0.500 0.500 0.852 Ag
0.500 0.500 0.148 Ag
0.000 0.000 0.294 Dy
0.000 0.000 0.706 Dy
0.000 0.000 0.000 Dy
0.500 0.500 0.500 Pm

Entry 7:
PmDy4Ag5 (PBE-GGA, optimized geometry); formation energy from the elements = -315 meV/atom; raw total energy = -4.056 eV per atom; total moment = 0.0 Bohr magnetons per cell
1.0
3.622 0.000 0.000
0.000 3.622 0.000
0.000 0.000 18.584
Dy Ag Pm
4 5 1
Direct
0.000 0.000 0.797 Dy
0.000 0.000 0.401 Dy
0.000 0.000 0.203 Dy
0.000 0.000 0.599 Dy
0.500 0.500 0.893 Ag
0.500 0.500 0.698 Ag
0.500 0.500 0.302 Ag
0.500 0.500 0.107 Ag
0.500 0.500 0.500 Ag
0.000 0.000 0.000 Pm

Entry 8:
Pm3DyAg2 (PBE-GGA, optimized geometry); formation energy from the elements = 59 meV/atom; offset from the most stable computed form = 0.223 eV per atom; raw total energy = -4.034 eV per atom; total moment = 0.0 Bohr magnetons per cell
1.0
-6.892 -1.641 0.124
0.949 -4.453 -6.150
4.369 -2.504 7.247
Pm Ag Dy
6 4 2
Direct
0.224 0.974 0.449 Pm
0.500 0.750 0.000 Pm
0.776 0.526 0.551 Pm
0.500 0.250 0.000 Pm
0.776 0.026 0.551 Pm
0.224 0.474 0.449 Pm
0.163 0.859 0.718 Ag
0.445 0.641 0.282 Ag
0.555 0.359 0.718 Ag
0.837 0.141 0.282 Ag
0.000 0.000 0.000 Dy
0.000 0.500 0.000 Dy